i) A plane-wave DFT calculation with PBE was carried out for RbCdAsBr2 after structural relaxation.

The structure in POSCAR format:
```
RbCdAsBr2
1.0
-3.459 -3.108 4.426
-4.344 -1.534 -4.471
3.433 -5.758 -1.360
Br Cd As Rb
2 1 1 1
Direct
0.500 0.000 0.000 Br
0.000 0.500 0.000 Br
0.500 0.500 0.500 Cd
0.000 0.000 0.500 As
0.000 0.000 0.000 Rb
```

- DOS(E_F) (states/eV per cell) = 12.02
- crystal system = tetragonal
- magnetization (μB per atom) = 0.52
- ρ (g/cm³) = 2.5

ii) A plane-wave DFT calculation with PBE was carried out for RbCdAsBr2 after structural relaxation.

The structure in POSCAR format:
```
RbCdAsBr2
1.0
-0.920 4.978 2.996
-5.693 -0.167 -1.471
-1.041 -2.808 4.346
Br Cd As Rb
2 1 1 1
Direct
0.500 0.000 0.000 Br
0.000 0.500 0.000 Br
0.000 0.000 0.000 Cd
0.000 0.000 0.500 As
0.500 0.500 0.500 Rb
```

- DOS(E_F) (states/eV per cell) = 0.34
- crystal system = tetragonal
- magnetization (μB per atom) = 0.40
- ρ (g/cm³) = 3.9

Relative calculated energies, zero for the most stable structure, unit meV/atom: i) 790; ii) 0.

i) A plane-wave DFT calculation with PBE was carried out for CdAsRhBr2 after structural relaxation.

The structure in POSCAR format:
```
CdAsRhBr2
1.0
-0.676 -5.345 -0.643
5.172 -0.824 1.418
-1.453 -0.424 5.054
Cd Rh Br As
1 1 2 1
Direct
0.000 0.000 0.000 Cd
0.500 0.500 0.500 Rh
0.000 0.500 0.000 Br
0.500 0.000 0.000 Br
0.000 0.000 0.500 As
```

- DOS(E_F) (states/eV per cell) = 9.46
- crystal system = tetragonal
- magnetization (μB per atom) = 0.65
- ρ (g/cm³) = 4.8

ii) A plane-wave DFT calculation with PBE was carried out for CdAsRhBr2 after structural relaxation.

The structure in POSCAR format:
```
CdAsRhBr2
1.0
5.277 0.000 0.000
0.000 5.277 0.000
0.000 0.000 4.694
As Br Rh Cd
1 2 1 1
Direct
0.000 0.000 0.500 As
0.500 0.000 0.000 Br
0.000 0.500 0.000 Br
0.000 0.000 0.000 Rh
0.500 0.500 0.500 Cd
```

- DOS(E_F) (states/eV per cell) = 2.36
- crystal system = tetragonal
- magnetization (μB per atom) = 0.00
- ρ (g/cm³) = 5.7

Relative calculated energies, zero for the most stable structure, unit meV/atom: i) 814; ii) 0.

i) A plane-wave DFT calculation with PBE was carried out for CdAs2SBr after structural relaxation.

The structure in POSCAR format:
```
CdAs2SBr
1.0
-2.763 2.619 -3.066
-4.003 -1.339 2.465
0.520 4.226 3.140
As S Br Cd
2 1 1 1
Direct
0.500 0.000 0.000 As
0.000 0.500 0.000 As
0.000 0.000 0.000 S
0.000 0.000 0.500 Br
0.500 0.500 0.500 Cd
```

- DOS(E_F) (states/eV per cell) = 3.39
- crystal system = tetragonal
- magnetization (μB per atom) = 0.16
- ρ (g/cm³) = 4.9

ii) A plane-wave DFT calculation with PBE was carried out for CdAs2SBr after structural relaxation.

The structure in POSCAR format:
```
CdAs2SBr
1.0
-1.643 4.245 -2.677
-1.413 -3.094 -4.039
-4.714 -0.529 2.055
Br As S Cd
1 2 1 1
Direct
0.000 0.000 0.500 Br
0.500 0.000 0.000 As
0.000 0.500 0.000 As
0.500 0.500 0.500 S
0.000 0.000 0.000 Cd
```

- DOS(E_F) (states/eV per cell) = 4.68
- crystal system = tetragonal
- magnetization (μB per atom) = 0.13
- ρ (g/cm³) = 4.3

Relative calculated energies, zero for the most stable structure, unit meV/atom: i) 0; ii) 397.

i) A plane-wave DFT calculation with PBE was carried out for ScCdAsBr2 after structural relaxation.

The structure in POSCAR format:
```
ScCdAsBr2
1.0
5.167 0.000 0.000
0.000 5.167 0.000
0.000 0.000 5.558
Sc Cd Br As
1 1 2 1
Direct
0.000 0.000 0.000 Sc
0.500 0.500 0.500 Cd
0.000 0.500 0.000 Br
0.500 0.000 0.000 Br
0.000 0.000 0.500 As
```

- DOS(E_F) (states/eV per cell) = 2.76
- crystal system = tetragonal
- magnetization (μB per atom) = 0.00
- ρ (g/cm³) = 4.4

ii) A plane-wave DFT calculation with PBE was carried out for ScCdAsBr2 after structural relaxation.

The structure in POSCAR format:
```
ScCdAsBr2
1.0
-0.966 5.133 0.593
-3.634 -1.103 3.634
3.797 0.267 3.878
Cd Sc Br As
1 1 2 1
Direct
0.000 0.000 0.000 Cd
0.500 0.500 0.500 Sc
0.500 0.000 0.000 Br
0.000 0.500 0.000 Br
0.000 0.000 0.500 As
```

- DOS(E_F) (states/eV per cell) = 3.43
- crystal system = tetragonal
- magnetization (μB per atom) = 0.05
- ρ (g/cm³) = 4.3

Relative calculated energies, zero for the most stable structure, unit meV/atom: i) 0; ii) 660.

i) A plane-wave DFT calculation with PBE was carried out for CdSiAsBr2 after structural relaxation.

The structure in POSCAR format:
```
CdSiAsBr2
1.0
-2.488 -0.007 4.383
0.052 -5.039 0.021
4.489 0.057 2.548
As Si Br Cd
1 1 2 1
Direct
0.000 0.000 0.500 As
0.000 0.000 0.000 Si
0.000 0.500 0.000 Br
0.500 0.000 0.000 Br
0.500 0.500 0.500 Cd
```

- DOS(E_F) (states/eV per cell) = 3.71
- crystal system = tetragonal
- magnetization (μB per atom) = 0.00
- ρ (g/cm³) = 4.8

ii) A plane-wave DFT calculation with PBE was carried out for CdSiAsBr2 after structural relaxation.

The structure in POSCAR format:
```
CdSiAsBr2
1.0
5.282 0.000 0.000
0.000 5.282 0.000
0.000 0.000 5.437
As Cd Si Br
1 1 1 2
Direct
0.000 0.000 0.500 As
0.000 0.000 0.000 Cd
0.500 0.500 0.500 Si
0.500 0.000 0.000 Br
0.000 0.500 0.000 Br
```

- DOS(E_F) (states/eV per cell) = 3.06
- crystal system = tetragonal
- magnetization (μB per atom) = 0.00
- ρ (g/cm³) = 4.1

Relative calculated energies, zero for the most stable structure, unit meV/atom: i) 0; ii) 442.

i) A plane-wave DFT calculation with PBE was carried out for CdSnAsBr2 after structural relaxation.

The structure in POSCAR format:
```
CdSnAsBr2
1.0
-4.702 -0.441 2.159
2.570 -3.080 4.967
0.698 4.527 2.446
Br Cd Sn As
2 1 1 1
Direct
0.500 0.000 0.000 Br
0.000 0.000 0.500 Br
0.000 0.000 0.000 Cd
0.000 0.500 0.000 Sn
0.500 0.500 0.500 As
```

- DOS(E_F) (states/eV per cell) = 3.04
- crystal system = tetragonal
- magnetization (μB per atom) = 0.29
- ρ (g/cm³) = 4.5

ii) A plane-wave DFT calculation with PBE was carried out for CdSnAsBr2 after structural relaxation.

The structure in POSCAR format:
```
CdSnAsBr2
1.0
-1.480 -1.632 -5.099
5.352 -0.319 -1.452
0.134 -5.302 1.658
Cd Sn Br As
1 1 2 1
Direct
0.500 0.500 0.500 Cd
0.000 0.000 0.000 Sn
0.000 0.500 0.000 Br
0.500 0.000 0.000 Br
0.000 0.000 0.500 As
```

- DOS(E_F) (states/eV per cell) = 3.86
- crystal system = tetragonal
- magnetization (μB per atom) = 0.20
- ρ (g/cm³) = 4.5

Relative calculated energies, zero for the most stable structure, unit meV/atom: i) 270; ii) 0.

i) A plane-wave DFT calculation with PBE was carried out for TaCdAs2Br after structural relaxation.

The structure in POSCAR format:
```
TaCdAs2Br
1.0
-3.227 2.988 -2.447
1.105 -2.341 -4.316
-3.862 -3.448 0.882
Cd As Br Ta
1 2 1 1
Direct
0.500 0.500 0.500 Cd
0.000 0.500 0.000 As
0.500 0.000 0.000 As
0.000 0.000 0.500 Br
0.000 0.000 0.000 Ta
```

- DOS(E_F) (states/eV per cell) = 1.53
- crystal system = tetragonal
- magnetization (μB per atom) = 0.00
- ρ (g/cm³) = 6.5

ii) A plane-wave DFT calculation with PBE was carried out for TaCdAs2Br after structural relaxation.

The structure in POSCAR format:
```
TaCdAs2Br
1.0
5.056 0.000 0.000
0.000 5.089 0.000
0.000 0.000 5.056
Ta Br As Cd
1 1 2 1
Direct
0.500 0.500 0.500 Ta
0.000 0.000 0.000 Br
0.000 0.000 0.500 As
0.500 0.000 0.000 As
0.000 0.500 0.000 Cd
```

- DOS(E_F) (states/eV per cell) = 5.28
- crystal system = tetragonal
- magnetization (μB per atom) = 0.45
- ρ (g/cm³) = 6.7

Relative calculated energies, zero for the most stable structure, unit meV/atom: i) 0; ii) 1416.

i) A plane-wave DFT calculation with PBE was carried out for TaCdAsBr2 after structural relaxation.

The structure in POSCAR format:
```
TaCdAsBr2
1.0
-3.331 -3.769 1.194
2.017 -0.276 4.752
-3.373 3.499 1.635
Br Cd Ta As
2 1 1 1
Direct
0.500 0.000 0.000 Br
0.000 0.500 0.000 Br
0.500 0.500 0.500 Cd
0.000 0.000 0.000 Ta
0.000 0.000 0.500 As
```

- DOS(E_F) (states/eV per cell) = 3.27
- crystal system = tetragonal
- magnetization (μB per atom) = 0.00
- ρ (g/cm³) = 6.4

ii) A plane-wave DFT calculation with PBE was carried out for TaCdAsBr2 after structural relaxation.

The structure in POSCAR format:
```
TaCdAsBr2
1.0
5.208 0.000 0.000
0.000 5.208 0.000
0.000 0.000 5.389
Cd Br Ta As
1 2 1 1
Direct
0.000 0.000 0.000 Cd
0.500 0.000 0.000 Br
0.000 0.500 0.000 Br
0.500 0.500 0.500 Ta
0.000 0.000 0.500 As
```

- DOS(E_F) (states/eV per cell) = 5.45
- crystal system = tetragonal
- magnetization (μB per atom) = 0.45
- ρ (g/cm³) = 6.0

Relative calculated energies, zero for the most stable structure, unit meV/atom: i) 0; ii) 1094.